1.
The following is a DFT calculation (PBE-GGA) of a relaxed structure of BaTl2H8Rh.

Cell: 5.167 5.167 7.149 Å, 90.00 90.00 120.00°
Sites, in units of the cell vectors:
Ba 0.000 0.000 0.500
Tl 0.667 0.333 0.166
Tl 0.333 0.667 0.834
H 0.852 0.704 0.854
H 0.296 0.148 0.854
H 0.852 0.148 0.854
H 0.148 0.296 0.146
H 0.704 0.852 0.146
H 0.148 0.852 0.146
H 0.667 0.333 0.490
H 0.333 0.667 0.510
Rh 0.000 0.000 0.000

Calculated values
E_tot ... -40.632 eV per formula unit
Volume ... 13.77 Å³ per atom
Symmetry ... No. 164

---

2.
The following is a DFT calculation (PBE-GGA) of a relaxed structure of BaTl2HRh.

Cell: 5.549 3.851 5.549 Å, 90.00 90.00 90.00°
Sites, in units of the cell vectors:
H 0.000 0.500 0.000
Tl 0.000 0.000 0.500
Tl 0.500 0.000 0.000
Rh 0.000 0.000 0.000
Ba 0.500 0.500 0.500

Calculated values
E_tot ... -17.239 eV per formula unit
Volume ... 23.72 Å³ per atom
Symmetry ... No. 123

---

3.
The following is a DFT calculation (PBE-GGA) of a relaxed structure of Ba2TlH5Rh.

Cell: 5.113 7.867 7.867 Å, 90.00 90.00 90.00°
Sites, in units of the cell vectors:
Ba 0.500 0.689 0.189
Ba 0.500 0.189 0.311
Ba 0.500 0.811 0.689
Ba 0.500 0.311 0.811
Tl 0.000 0.500 0.500
Tl 0.000 0.000 0.000
H 0.500 0.500 0.500
H 0.500 0.000 0.000
H 0.238 0.105 0.605
H 0.238 0.895 0.395
H 0.238 0.395 0.105
H 0.238 0.605 0.895
H 0.762 0.105 0.605
H 0.762 0.605 0.895
H 0.762 0.895 0.395
H 0.762 0.395 0.105
Rh 0.000 0.000 0.500
Rh 0.000 0.500 0.000

Calculated values
E_tot ... -33.328 eV per formula unit
Volume ... 17.58 Å³ per atom
Symmetry ... No. 127